# PBE LiHfPb, relaxed
data_LiHfPb
_space_group_name_H-M_alt 'P 1'
_space_group_IT_number 1
_space_group_name_Hall 'P 1'
_cell_length_a 3.237
_cell_length_b 3.237
_cell_length_c 12.956
_cell_angle_alpha 97.18
_cell_angle_beta 97.18
_cell_angle_gamma 90.00
loop_
_atom_site_label
_atom_site_type_symbol
_atom_site_fract_x
_atom_site_fract_y
_atom_site_fract_z
Pb1 Pb 0.146 0.146 0.292
Pb2 Pb 0.854 0.854 0.708
Hf1 Hf 0.559 0.559 0.117
Hf2 Hf 0.441 0.441 0.883
Li1 Li 0.716 0.716 0.431
Li2 Li 0.284 0.284 0.569
# Energy relative to the elements   0.43 eV per formula unit
# Raw total energy   -5.050 eV per atom
# M_tot   0.3 Bohr magnetons per cell
# Space group   I4/mmm (139)

# PBE LiHf2Pb2, relaxed
data_LiHf2Pb2
_space_group_name_H-M_alt 'P 1'
_space_group_IT_number 1
_space_group_name_Hall 'P 1'
_cell_length_a 8.743
_cell_length_b 8.743
_cell_length_c 3.284
_cell_angle_alpha 90.00
_cell_angle_beta 90.00
_cell_angle_gamma 90.00
loop_
_atom_site_label
_atom_site_type_symbol
_atom_site_fract_x
_atom_site_fract_y
_atom_site_fract_z
Hf1 Hf 0.622 0.122 0.000
Hf2 Hf 0.878 0.622 0.000
Hf3 Hf 0.378 0.878 0.000
Hf4 Hf 0.122 0.378 0.000
Pb1 Pb 0.326 0.174 0.500
Pb2 Pb 0.826 0.326 0.500
Pb3 Pb 0.174 0.674 0.500
Pb4 Pb 0.674 0.826 0.500
Li1 Li 0.500 0.500 0.000
Li2 Li 0.000 0.000 0.000
# Energy relative to the lowest polymorph listed for this composition   0.012 eV/atom
# Energy relative to the elements   0.72 eV per formula unit
# Raw total energy   -5.704 eV per atom
# M_tot   1.5 Bohr magnetons per cell
# Space group   P4/mbm (127)

# PBE LiHfPb, relaxed
data_LiHfPb
_space_group_name_H-M_alt 'P 1'
_space_group_IT_number 1
_space_group_name_Hall 'P 1'
_cell_length_a 3.306
_cell_length_b 4.620
_cell_length_c 4.620
_cell_angle_alpha 120.00
_cell_angle_beta 90.00
_cell_angle_gamma 90.00
loop_
_atom_site_label
_atom_site_type_symbol
_atom_site_fract_x
_atom_site_fract_y
_atom_site_fract_z
Li1 Li 0.499 0.333 0.667
Pb1 Pb 0.501 0.667 0.333
Hf1 Hf 0.000 0.000 0.000
# Energy relative to the elements   -0.01 eV per formula unit
# Raw total energy   -5.197 eV per atom
# M_tot   0.0 Bohr magnetons per cell
# Space group   P-6m2 (187)

# PBE LiHfPb2, relaxed
data_LiHfPb2
_space_group_name_H-M_alt 'P 1'
_space_group_IT_number 1
_space_group_name_Hall 'P 1'
_cell_length_a 7.627
_cell_length_b 7.627
_cell_length_c 6.304
_cell_angle_alpha 52.78
_cell_angle_beta 52.78
_cell_angle_gamma 90.00
loop_
_atom_site_label
_atom_site_type_symbol
_atom_site_fract_x
_atom_site_fract_y
_atom_site_fract_z
Li1 Li 0.500 0.500 0.000
Li2 Li 0.250 0.750 0.500
Pb1 Pb 0.158 0.625 0.250
Pb2 Pb 0.375 0.408 0.750
Pb3 Pb 0.875 0.842 0.750
Pb4 Pb 0.592 0.125 0.250
Hf1 Hf 0.750 0.250 0.500
Hf2 Hf 0.000 0.000 0.000
# Energy relative to the lowest polymorph listed for this composition   0.304 eV/atom
# Energy relative to the elements   0.82 eV per formula unit
# Raw total energy   -4.617 eV per atom
# M_tot   0.0 Bohr magnetons per cell
# Space group   I-42d (122)

Among the records above, which one has the lowest raw total energy? LiHf2Pb2

What is the energy relative to the elements in the second record? 0.72 eV per formula unit

What is the raw total energy in the second record? -5.704 eV per atom

Which value of M_tot does entry 1 give? 0.3 Bohr magnetons per cell